(1)
VASP calculation (PBE-GGA) on a relaxed SiSb2Ir crystal. Values from VASP.

The structure in Quantum ESPRESSO input format:
```
&SYSTEM
  ibrav = 0, nat = 4, ntyp = 3
/
ATOMIC_SPECIES
Si 28.09 Si.upf
Sb 121.76 Sb.upf
Ir 192.22 Ir.upf
CELL_PARAMETERS angstrom
3.401 -1.940 0.000
3.401 1.940 0.000
-2.195 0.000 6.472
ATOMIC_POSITIONS crystal
Si 0.000 0.000 0.000
Sb 0.243 0.243 0.731
Sb 0.757 0.757 0.269
Ir 0.500 0.500 0.500
```

Summary:
Formation energy (no corrections), meV per atom: 197
Total magnetic moment, Bohr magnetons per cell: 0.0
E, eV per cell: -21.7
N(E_F), states/eV per atom: 0.632
Space group: No. 12


(2)
VASP calculation (PBE-GGA) on a relaxed SiSb2Ir crystal. Values from VASP.

The structure in Quantum ESPRESSO input format:
```
&SYSTEM
  ibrav = 0, nat = 4, ntyp = 3
/
ATOMIC_SPECIES
Si 28.09 Si.upf
Sb 121.76 Sb.upf
Ir 192.22 Ir.upf
CELL_PARAMETERS angstrom
2.082 1.202 6.052
-2.082 1.202 6.052
0.000 -2.404 6.052
ATOMIC_POSITIONS crystal
Si 0.000 0.000 0.000
Sb 0.240 0.240 0.240
Sb 0.429 0.429 0.429
Ir 0.671 0.671 0.671
```

Summary:
Formation energy (no corrections), meV per atom: -26
Total magnetic moment, Bohr magnetons per cell: 0.0
E, eV per cell: -22.6
N(E_F), states/eV per atom: 0.605
Space group: No. 160


(3)
VASP calculation (PBE-GGA) on a relaxed SiSb2Ir crystal. Values from VASP.

The structure in Quantum ESPRESSO input format:
```
&SYSTEM
  ibrav = 0, nat = 8, ntyp = 3
/
ATOMIC_SPECIES
Si 28.09 Si.upf
Sb 121.76 Sb.upf
Ir 192.22 Ir.upf
CELL_PARAMETERS angstrom
-3.008 3.008 6.006
3.008 -3.008 6.006
3.008 3.008 -6.006
ATOMIC_POSITIONS crystal
Si 0.000 0.000 0.000
Si 0.750 0.250 0.500
Sb 0.139 0.625 0.014
Sb 0.375 0.389 0.514
Sb 0.611 0.125 0.986
Sb 0.875 0.861 0.486
Ir 0.250 0.750 0.500
Ir 0.500 0.500 0.000
```

Summary:
Formation energy (no corrections), meV per atom: 237
Total magnetic moment, Bohr magnetons per cell: 0.0
E, eV per cell: -43.2
N(E_F), states/eV per atom: 0.724
Space group: No. 122


(4)
VASP calculation (PBE-GGA) on a relaxed SiSbIr crystal. Values from VASP.

The structure in Quantum ESPRESSO input format:
```
&SYSTEM
  ibrav = 0, nat = 3, ntyp = 3
/
ATOMIC_SPECIES
Si 28.09 Si.upf
Sb 121.76 Sb.upf
Ir 192.22 Ir.upf
CELL_PARAMETERS angstrom
3.587 0.000 0.000
-1.794 3.107 0.000
0.000 0.000 5.349
ATOMIC_POSITIONS crystal
Si 0.000 0.000 0.000
Sb 0.333 0.667 0.559
Ir 0.667 0.333 0.212
```

Summary:
Formation energy (no corrections), meV per atom: -57
Total magnetic moment, Bohr magnetons per cell: 0.0
E, eV per cell: -18.6
N(E_F), states/eV per atom: 0.433
Space group: No. 156


(5)
VASP calculation (PBE-GGA) on a relaxed SiSbIr crystal. Values from VASP.

The structure in Quantum ESPRESSO input format:
```
&SYSTEM
  ibrav = 0, nat = 3, ntyp = 3
/
ATOMIC_SPECIES
Si 28.09 Si.upf
Sb 121.76 Sb.upf
Ir 192.22 Ir.upf
CELL_PARAMETERS angstrom
-1.504 1.504 6.024
1.504 -1.504 6.024
1.504 1.504 -6.024
ATOMIC_POSITIONS crystal
Si 0.000 0.000 0.000
Sb 0.291 0.291 0.000
Ir 0.609 0.609 0.000
```

Summary:
Formation energy (no corrections), meV per atom: 19
Total magnetic moment, Bohr magnetons per cell: 0.0
E, eV per cell: -18.3
N(E_F), states/eV per atom: 0.328
Space group: No. 107


(6)
VASP calculation (PBE-GGA) on a relaxed SiSbIr2 crystal. Values from VASP.

The structure in Quantum ESPRESSO input format:
```
&SYSTEM
  ibrav = 0, nat = 8, ntyp = 3
/
ATOMIC_SPECIES
Si 28.09 Si.upf
Sb 121.76 Sb.upf
Ir 192.22 Ir.upf
CELL_PARAMETERS angstrom
-2.765 2.765 5.777
2.765 -2.765 5.777
2.765 2.765 -5.777
ATOMIC_POSITIONS crystal
Si 0.000 0.000 0.000
Si 0.750 0.250 0.500
Sb 0.250 0.750 0.500
Sb 0.500 0.500 0.000
Ir 0.083 0.625 0.958
Ir 0.375 0.333 0.458
Ir 0.667 0.125 0.042
Ir 0.875 0.917 0.542
```

Summary:
Formation energy (no corrections), meV per atom: -4
Total magnetic moment, Bohr magnetons per cell: 0.0
E, eV per cell: -54.6
N(E_F), states/eV per atom: 0.376
Space group: No. 122


(7)
VASP calculation (PBE-GGA) on a relaxed SiSbIr2 crystal. Values from VASP.

The structure in Quantum ESPRESSO input format:
```
&SYSTEM
  ibrav = 0, nat = 4, ntyp = 3
/
ATOMIC_SPECIES
Si 28.09 Si.upf
Sb 121.76 Sb.upf
Ir 192.22 Ir.upf
CELL_PARAMETERS angstrom
2.945 0.000 0.000
0.000 2.989 0.000
-0.024 0.000 7.559
ATOMIC_POSITIONS crystal
Si 0.000 0.000 0.000
Sb 0.500 0.000 0.500
Ir 0.498 0.500 0.817
Ir 0.502 0.500 0.183
```

Summary:
Formation energy (no corrections), meV per atom: -272
Total magnetic moment, Bohr magnetons per cell: 0.0
E, eV per cell: -28.4
N(E_F), states/eV per atom: 0.352
Space group: No. 10


(8)
VASP calculation (PBE-GGA) on a relaxed SiSb2Ir crystal. Values from VASP.

The structure in Quantum ESPRESSO input format:
```
&SYSTEM
  ibrav = 0, nat = 4, ntyp = 3
/
ATOMIC_SPECIES
Si 28.09 Si.upf
Sb 121.76 Sb.upf
Ir 192.22 Ir.upf
CELL_PARAMETERS angstrom
4.353 0.000 0.000
0.000 2.578 3.819
0.000 -2.578 3.819
ATOMIC_POSITIONS crystal
Si 0.000 0.000 0.000
Sb 0.000 0.367 0.367
Sb 0.500 0.763 0.763
Ir 0.500 0.146 0.146
```

Summary:
Formation energy (no corrections), meV per atom: -63
Total magnetic moment, Bohr magnetons per cell: 0.0
E, eV per cell: -22.8
N(E_F), states/eV per atom: 0.503
Space group: No. 38


(9)
VASP calculation (PBE-GGA) on a relaxed Si2SbIr2 crystal. Values from VASP.

The structure in Quantum ESPRESSO input format:
```
&SYSTEM
  ibrav = 0, nat = 10, ntyp = 3
/
ATOMIC_SPECIES
Si 28.09 Si.upf
Sb 121.76 Sb.upf
Ir 192.22 Ir.upf
CELL_PARAMETERS angstrom
7.471 0.000 0.000
0.000 7.471 0.000
0.000 0.000 2.833
ATOMIC_POSITIONS crystal
Si 0.144 0.356 0.000
Si 0.356 0.856 0.000
Si 0.644 0.144 0.000
Si 0.856 0.644 0.000
Sb 0.000 0.000 0.500
Sb 0.500 0.500 0.500
Ir 0.142 0.642 0.500
Ir 0.358 0.142 0.500
Ir 0.642 0.858 0.500
Ir 0.858 0.358 0.500
```

Summary:
Formation energy (no corrections), meV per atom: -219
Total magnetic moment, Bohr magnetons per cell: 0.0
E, eV per cell: -67.6
N(E_F), states/eV per atom: 0.411
Space group: No. 127


(10)
VASP calculation (PBE-GGA) on a relaxed SiSbIr crystal. Values from VASP.

The structure in Quantum ESPRESSO input format:
```
&SYSTEM
  ibrav = 0, nat = 12, ntyp = 3
/
ATOMIC_SPECIES
Si 28.09 Si.upf
Sb 121.76 Sb.upf
Ir 192.22 Ir.upf
CELL_PARAMETERS angstrom
6.374 0.000 0.000
0.000 6.313 0.000
-2.401 0.000 5.880
ATOMIC_POSITIONS crystal
Si 0.140 0.154 0.330
Si 0.140 0.346 0.830
Si 0.860 0.654 0.170
Si 0.860 0.846 0.670
Sb 0.352 0.614 0.642
Sb 0.352 0.886 0.142
Sb 0.648 0.114 0.858
Sb 0.648 0.386 0.358
Ir 0.208 0.014 0.698
Ir 0.208 0.486 0.198
Ir 0.792 0.514 0.802
Ir 0.792 0.986 0.302
```

Summary:
Formation energy (no corrections), meV per atom: -368
Total magnetic moment, Bohr magnetons per cell: 0.0
E, eV per cell: -78.0
N(E_F), states/eV per atom: 0.424
Space group: No. 14


(11)
VASP calculation (PBE-GGA) on a relaxed SiSb2Ir crystal. Values from VASP.

The structure in Quantum ESPRESSO input format:
```
&SYSTEM
  ibrav = 0, nat = 4, ntyp = 3
/
ATOMIC_SPECIES
Si 28.09 Si.upf
Sb 121.76 Sb.upf
Ir 192.22 Ir.upf
CELL_PARAMETERS angstrom
5.021 0.000 0.000
0.000 5.021 0.000
0.000 0.000 3.111
ATOMIC_POSITIONS crystal
Si 0.000 0.000 0.000
Sb 0.000 0.500 0.500
Sb 0.500 0.000 0.500
Ir 0.500 0.500 0.000
```

Summary:
Formation energy (no corrections), meV per atom: 455
Total magnetic moment, Bohr magnetons per cell: 0.0
E, eV per cell: -20.7
N(E_F), states/eV per atom: 0.549
Space group: No. 123


(12)
VASP calculation (PBE-GGA) on a relaxed SiSbIr2 crystal. Values from VASP.

The structure in Quantum ESPRESSO input format:
```
&SYSTEM
  ibrav = 0, nat = 4, ntyp = 3
/
ATOMIC_SPECIES
Si 28.09 Si.upf
Sb 121.76 Sb.upf
Ir 192.22 Ir.upf
CELL_PARAMETERS angstrom
-1.884 1.884 4.571
1.884 -1.884 4.571
1.884 1.884 -4.571
ATOMIC_POSITIONS crystal
Si 0.000 0.000 0.000
Sb 0.750 0.250 0.500
Ir 0.250 0.750 0.500
Ir 0.500 0.500 0.000
```

Summary:
Formation energy (no corrections), meV per atom: 181
Total magnetic moment, Bohr magnetons per cell: 0.0
E, eV per cell: -26.5
N(E_F), states/eV per atom: 0.403
Space group: No. 119


Please write out number 1 again, unchanged.
VASP calculation (PBE-GGA) on a relaxed SiSb2Ir crystal. Values from VASP.

The structure in Quantum ESPRESSO input format:
```
&SYSTEM
  ibrav = 0, nat = 4, ntyp = 3
/
ATOMIC_SPECIES
Si 28.09 Si.upf
Sb 121.76 Sb.upf
Ir 192.22 Ir.upf
CELL_PARAMETERS angstrom
3.401 -1.940 0.000
3.401 1.940 0.000
-2.195 0.000 6.472
ATOMIC_POSITIONS crystal
Si 0.000 0.000 0.000
Sb 0.243 0.243 0.731
Sb 0.757 0.757 0.269
Ir 0.500 0.500 0.500
```

Summary:
Formation energy (no corrections), meV per atom: 197
Total magnetic moment, Bohr magnetons per cell: 0.0
E, eV per cell: -21.7
N(E_F), states/eV per atom: 0.632
Space group: No. 12